# 1
Here is a relaxed structure of LiPtI from Alexandria. Energies are from GGA-PBE.

Computed properties:
Raw formation energy in eV per atom: -0.581
SG: Cmcm
E_tot in eV per atom: -3.75

a = 9.6852 Å, b = 9.6852 Å, c = 3.8556 Å
α = 90.00°, β = 90.00°, γ = 155.26°
Closest atoms and distances in Å follow each position.
Fractional coordinates of all 6 atoms:
Pt 0.9519 0.0481 0.7500  2 Pt 2.65, 2 I 2.73, 6 Li 2.81-2.83
I 0.8498 0.1502 0.2500  2 Pt 2.73, 2 Li 2.79
Pt 0.0481 0.9519 0.2500  2 Pt 2.65, 2 I 2.73, 6 Li 2.81-2.83
I 0.1502 0.8498 0.7500  2 Pt 2.73, 2 Li 2.79
Li 0.4482 0.5518 0.2500  2 Li 2.75, 2 I 2.79, 6 Pt 2.81-2.83
Li 0.5518 0.4482 0.7500  2 Li 2.75, 2 I 2.79, 6 Pt 2.81-2.83



# 2
Here is a relaxed structure of GeMo3Os from Alexandria. Energies are from GGA-PBE.

Computed properties:
SG: Pm-3m
Formation enthalpy at 0 K in eV/atom: 1.609
E_tot in eV per atom: -8.06

a = 4.5059 Å, b = 4.5059 Å, c = 4.5059 Å
α = 90.00°, β = 90.00°, γ = 90.00°
Closest atoms and distances in Å follow each position.
Fractional coordinates of all 5 atoms:
Mo 0.5000 0.0000 0.0000  2 Ge 2.25
Ge 0.0000 0.0000 0.0000  6 Mo 2.25
Mo 0.0000 0.5000 0.0000  2 Ge 2.25
Os 0.5000 0.5000 0.5000  12 Mo 3.19
Mo 0.0000 0.0000 0.5000  2 Ge 2.25



# 3
Here is a relaxed structure of K2ScNi from Alexandria. Energies are from GGA-PBE.

Computed properties:
SG: P2/m
Formation enthalpy at 0 K in eV/atom: 0.799
E_tot in eV per atom: -2.78

a = 6.2430 Å, b = 4.3220 Å, c = 4.2635 Å
α = 84.46°, β = 90.00°, γ = 90.00°
Closest atoms and distances in Å follow each position.
Fractional coordinates of all 4 atoms:
Sc 0.5000 0.7500 0.7500  4 Ni 2.89-3.18
K 0.0000 0.0206 0.0208  3 K 2.89-2.92
K 0.0000 0.4794 0.4792  3 K 2.89-2.92
Ni 0.5000 0.2500 0.2500  4 Sc 2.89-3.18



# 4
Here is a relaxed structure of Ba2TlBiAs from Alexandria. Energies are from GGA-PBE.

Computed properties:
SG: P2_1/m
Formation enthalpy at 0 K in eV/atom: -0.698
E_tot in eV per atom: -3.65

a = 4.8513 Å, b = 8.5528 Å, c = 10.5075 Å
α = 109.81°, β = 90.00°, γ = 90.00°
Closest atoms and distances in Å follow each position.
Fractional coordinates of all 10 atoms:
As 0.2500 0.8198 0.8110  1 Tl 2.73
Ba 0.2500 0.2083 0.9721  3 As 3.18-3.39, 1 Tl 3.52
Ba 0.7500 0.7917 0.0279  3 As 3.18-3.39, 1 Tl 3.52
Tl 0.7500 0.5047 0.2014  1 As 2.73
Bi 0.2500 0.7367 0.3106  2 Tl 3.10
As 0.7500 0.1802 0.1890  1 Tl 2.73
Tl 0.2500 0.4953 0.7986  1 As 2.73
Ba 0.2500 0.2024 0.3996  2 As 3.25
Bi 0.7500 0.2633 0.6894  2 Tl 3.10
Ba 0.7500 0.7976 0.6004  2 As 3.25



# 5
Here is a relaxed structure of ZrNbAu from Alexandria. Energies are from GGA-PBE.

Computed properties:
SG: I4mm
Formation enthalpy at 0 K in eV/atom: -0.121
E_tot in eV per atom: -7.42

a = 3.4970 Å, b = 3.4970 Å, c = 5.4158 Å
α = 108.84°, β = 108.84°, γ = 90.00°
Closest atoms and distances in Å follow each position.
Fractional coordinates of all 3 atoms:
Zr 0.6679 0.6679 0.3358  5 Nb 2.96-3.19, 5 Au 2.98-3.15
Au 0.9953 0.9953 0.9905  4 Nb 2.91, 5 Zr 2.98-3.15
Nb 0.3368 0.3368 0.6737  4 Au 2.91, 5 Zr 2.96-3.19



# 6
Here is a relaxed structure of SiGeAuS from Alexandria. Energies are from GGA-PBE.

Computed properties:
Raw formation energy in eV per atom: 0.057
SG: R3m
E_tot in eV per atom: -4.30

a = 3.3986 Å, b = 3.3986 Å, c = 22.8296 Å
α = 90.00°, β = 90.00°, γ = 120.00°
Closest atoms and distances in Å follow each position.
Fractional coordinates of all 12 atoms:
Ge 0.0000 0.0000 0.6664  3 Au 2.65, 3 Si 2.78
Si 0.6667 0.3333 0.7528  3 S 2.37
Ge 0.6667 0.3333 0.9997  3 Au 2.65, 3 Si 2.78
Si 0.3333 0.6667 0.0861  3 S 2.37
Ge 0.3333 0.6667 0.3330  3 Au 2.65, 3 Si 2.78
Au 0.6667 0.3333 0.5882  1 S 2.52, 3 Ge 2.65
S 0.3333 0.6667 0.8113  3 Si 2.37, 1 Au 2.52
S 0.0000 0.0000 0.1446  3 Si 2.37, 1 Au 2.52
Au 0.3333 0.6667 0.9215  1 S 2.52, 3 Ge 2.65
S 0.6667 0.3333 0.4779  3 Si 2.37, 1 Au 2.52
Si 0.0000 0.0000 0.4195  3 S 2.37
Au 0.0000 0.0000 0.2549  1 S 2.52, 3 Ge 2.65



# 7
Here is a relaxed structure of KPuO from Alexandria. Energies are from GGA-PBE.

Computed properties:
Raw formation energy in eV per atom: -1.261
SG: Pnma
E_tot in eV per atom: -8.06

a = 3.1168 Å, b = 6.6842 Å, c = 13.4675 Å
α = 90.00°, β = 90.00°, γ = 90.00°
Closest atoms and distances in Å follow each position.
Fractional coordinates of all 12 atoms:
Pu 0.2500 0.4290 0.0526  2 O 2.21, 2 Pu 2.31
Pu 0.7500 0.0710 0.5526  2 O 2.21, 2 Pu 2.31
O 0.7500 0.8092 0.3471  2 Pu 2.21
K 0.2500 0.4589 0.3188  4 O 2.84-2.90, 2 K 3.12
Pu 0.7500 0.5710 0.9474  2 O 2.21, 2 Pu 2.31
O 0.7500 0.3092 0.1529  2 Pu 2.21
O 0.2500 0.1908 0.6529  2 Pu 2.21
K 0.7500 0.5411 0.6812  4 O 2.84-2.90, 2 K 3.12
Pu 0.2500 0.9290 0.4474  2 O 2.21, 2 Pu 2.31
O 0.2500 0.6908 0.8471  2 Pu 2.21
K 0.2500 0.9589 0.1812  4 O 2.84-2.90, 2 K 3.12
K 0.7500 0.0411 0.8188  4 O 2.84-2.90, 2 K 3.12



# 8
Here is a relaxed structure of Ta2AlCu from Alexandria. Energies are from GGA-PBE.

Computed properties:
SG: Cmm2
Formation enthalpy at 0 K in eV/atom: -0.094
E_tot in eV per atom: -7.98

a = 2.8304 Å, b = 2.8304 Å, c = 7.9667 Å
α = 90.00°, β = 90.00°, γ = 88.47°
Closest atoms and distances in Å follow each position.
Fractional coordinates of all 4 atoms:
Ta 0.0000 0.0000 0.9720  4 Cu 2.76-2.80, 6 Ta 2.83-3.09
Ta 0.5000 0.5000 0.2701  8 Ta 2.83-3.12, 4 Al 2.85-2.89
Al 0.0000 0.0000 0.5279  4 Cu 2.55-2.59, 4 Al 2.83, 2 Ta 2.85
Cu 0.5000 0.5000 0.7300  4 Al 2.55-2.59, 4 Ta 2.76-2.80, 4 Cu 2.83